The following is a DFT calculation (PBE+U) of crystalline CrGaF at its relaxed geometry. Values from VASP.

Computed properties:
Its excess energy over the best structure of this formula in the dataset is 166 meV/atom. The density is 4.7 g/cm3. Its space-group type is No. 8. The value obtained for the energy is -29.47 eV for the cell shown.

Quantum ESPRESSO input file:
```
&SYSTEM
  ibrav = 0, nat = 6, ntyp = 3
/
ATOMIC_SPECIES
Cr 52.00 Cr.upf
Ga 69.72 Ga.upf
F 19.00 F.upf
ATOMIC_POSITIONS crystal
Cr 0.817 0.888 0.769
Cr 0.110 0.602 0.354
Ga 0.613 0.153 0.361
Ga 0.405 0.522 0.945
F 0.007 0.984 0.147
F 0.336 0.189 0.807
CELL_PARAMETERS angstrom
3.182 0.012 -0.112
0.003 5.402 0.545
-1.386 -0.564 5.835
```